Entry from the Alexandria database: crystalline Ce14HoPu at its relaxed geometry (PBE).

Properties
**Total magnetization**: 4.079 μB per formula unit
**Energy**: -6.338 eV per atom
**Energy of formation from the pure elements**: 0.04 eV per atom

Cell: 9.4207 6.6866 6.6866 Å, 89.99 90.00 90.00°
Positions (direct):
1 Ce 0.0000 0.0000 0.0000
2 Ce 0.0000 0.9996 0.4999
3 Ce 0.0000 0.4995 0.4995
4 Ce 0.0000 0.4999 0.9996
5 Ce 0.2478 0.2512 0.2512
6 Ce 0.2477 0.2515 0.7481
7 Ce 0.2477 0.7481 0.2515
8 Ce 0.2475 0.7482 0.7482
9 Ce 0.5000 0.0000 0.4995
10 Ce 0.5000 0.4995 0.0000
11 Ce 0.7522 0.2512 0.2512
12 Ce 0.7523 0.2515 0.7481
13 Ce 0.7523 0.7481 0.2515
14 Ce 0.7525 0.7482 0.7482
15 Ho 0.5000 0.9993 0.9993
16 Pu 0.5000 0.5001 0.5001


Entry from the Alexandria database: crystalline CeHoPu at its relaxed geometry (PBE).

Properties
**Total magnetization**: 6.103 μB per formula unit
**ΔE to the lowest computed polymorph**: 0.1255 eV per atom
**Energy**: -8.051 eV per atom
**Energy of formation from the pure elements**: 0.23 eV per atom

Cell: 5.5358 5.5358 3.1730 Å, 90.00 90.00 120.00°
Positions (direct):
1 Ce 0.0000 0.0000 0.0000
2 Ho 0.6667 0.3333 0.0000
3 Pu 0.3333 0.6667 0.5000